Density functional theory data (SCAN) for a crystal of BaMgRu relaxed with PBEsol.

The structure in CIF format:
```
data_BaMgRu
_symmetry_space_group_name_H-M 'F -4 3 m'
_symmetry_Int_Tables_number 216
_symmetry_space_group_name_Hall 'F -4 2 3'
_cell_length_a 6.875
_cell_length_b 6.875
_cell_length_c 6.875
_cell_angle_alpha 90.00
_cell_angle_beta 90.00
_cell_angle_gamma 90.00
loop_
_atom_site_label
_atom_site_type_symbol
_atom_site_fract_x
_atom_site_fract_y
_atom_site_fract_z
_atom_site_occupancy
Ba1 Ba 0.000 0.000 0.000 1
Mg1 Mg 0.250 0.250 0.750 1
Ru1 Ru 0.250 0.250 0.250 1
```

The formation energy is 1498 meV per atom. For the total DFT energy (no corrections), the calculation gives -24.952 eV/atom. The total magnetic moment is 0.00 μB per formula unit. Its density of states at the Fermi level is 0.83 states/eV per atom.


Density functional theory data (SCAN) for a crystal of Tl2NiTeH relaxed with PBEsol.

The structure in CIF format:
```
data_Tl2NiTeH
_symmetry_space_group_name_H-M 'P 4/m m m'
_symmetry_Int_Tables_number 123
_symmetry_space_group_name_Hall '-P 4 2'
_cell_length_a 5.847
_cell_length_b 5.847
_cell_length_c 3.642
_cell_angle_alpha 90.00
_cell_angle_beta 90.00
_cell_angle_gamma 90.00
loop_
_atom_site_label
_atom_site_type_symbol
_atom_site_fract_x
_atom_site_fract_y
_atom_site_fract_z
_atom_site_occupancy
Tl1 Tl 0.000 0.500 0.000 1
Ni1 Ni 0.000 0.000 0.500 1
Te1 Te 0.500 0.500 0.000 1
H1 H 0.500 0.500 0.500 1
```

For the total DFT energy (no corrections), the calculation gives -39.545 eV/atom. The total magnetic moment is 1.08 μB per formula unit. Its density of states at the Fermi level is 0.44 states/eV per atom.


Density functional theory data (SCAN) for a crystal of Rb4UC3O11 relaxed with PBEsol.

The structure in CIF format:
```
data_Rb4UC3O11
_symmetry_space_group_name_H-M 'C 1 2/c 1'
_symmetry_Int_Tables_number 15
_symmetry_space_group_name_Hall '-C 2yc'
_cell_length_a 10.789
_cell_length_b 9.365
_cell_length_c 12.512
_cell_angle_alpha 90.00
_cell_angle_beta 94.24
_cell_angle_gamma 90.00
loop_
_atom_site_label
_atom_site_type_symbol
_atom_site_fract_x
_atom_site_fract_y
_atom_site_fract_z
_atom_site_occupancy
Rb1 Rb 0.107 0.178 0.041 1
Rb2 Rb 0.185 0.343 0.343 1
U1 U 0.000 0.305 0.750 1
C1 C 0.000 0.000 0.250 1
C2 C 0.119 0.458 0.588 1
O1 O 0.000 0.135 0.250 1
O2 O 0.040 0.077 0.671 1
O3 O 0.059 0.478 0.162 1
O4 O 0.098 0.319 0.582 1
O5 O 0.157 0.305 0.819 1
O6 O 0.192 0.478 0.030 1
```

For the total DFT energy (no corrections), the calculation gives -17.222 eV/atom. Its uncorrected formation energy is -2.2052 eV/atom. The total magnetic moment is 0.18 μB per formula unit. Its density of states at the Fermi level is 0.00 states/eV per atom.


Density functional theory data (SCAN) for a crystal of Sr2TaTe relaxed with PBEsol.

The structure in CIF format:
```
data_Sr2TaTe
_symmetry_space_group_name_H-M 'I -4 m 2'
_symmetry_Int_Tables_number 119
_symmetry_space_group_name_Hall 'I -4 -2'
_cell_length_a 4.681
_cell_length_b 4.681
_cell_length_c 10.911
_cell_angle_alpha 90.00
_cell_angle_beta 90.00
_cell_angle_gamma 90.00
loop_
_atom_site_label
_atom_site_type_symbol
_atom_site_fract_x
_atom_site_fract_y
_atom_site_fract_z
_atom_site_occupancy
Sr1 Sr 0.000 0.000 0.000 1
Sr2 Sr 0.000 0.500 0.250 1
Ta1 Ta 0.000 0.000 0.500 1
Te1 Te 0.000 0.500 0.750 1
```

Its relative energy among the computed polymorphs is 0.56 eV per formula unit. For the total DFT energy (no corrections), the calculation gives -36.758 eV/atom. Its uncorrected formation energy is 0.3383 eV/atom. The total magnetic moment is 3.04 μB per formula unit. Its density of states at the Fermi level is 0.83 states/eV per atom.


Density functional theory data (SCAN) for a crystal of K3SiN relaxed with PBEsol.

The structure in CIF format:
```
data_K3SiN
_symmetry_space_group_name_H-M 'P m -3 m'
_symmetry_Int_Tables_number 221
_symmetry_space_group_name_Hall '-P 4 2 3'
_cell_length_a 6.372
_cell_length_b 6.372
_cell_length_c 6.372
_cell_angle_alpha 90.00
_cell_angle_beta 90.00
_cell_angle_gamma 90.00
loop_
_atom_site_label
_atom_site_type_symbol
_atom_site_fract_x
_atom_site_fract_y
_atom_site_fract_z
_atom_site_occupancy
K1 K 0.000 0.000 0.500 1
Si1 Si 0.000 0.000 0.000 1
N1 N 0.500 0.500 0.500 1
```

For the total DFT energy (no corrections), the calculation gives -7.774 eV/atom. Its uncorrected formation energy is 1.0848 eV/atom. The total magnetic moment is 4.00 μB per formula unit. Its density of states at the Fermi level is 0.38 states/eV per atom.


Density functional theory data (SCAN) for a crystal of As2Se relaxed with PBEsol.

The structure in CIF format:
```
data_As2Se
_symmetry_space_group_name_H-M 'P -3 m 1'
_symmetry_Int_Tables_number 164
_symmetry_space_group_name_Hall '-P 3 2"'
_cell_length_a 3.8337
_cell_length_b 3.8337
_cell_length_c 4.7936
_cell_angle_alpha 90.00
_cell_angle_beta 90.00
_cell_angle_gamma 120.00
loop_
_atom_site_label
_atom_site_type_symbol
_atom_site_fract_x
_atom_site_fract_y
_atom_site_fract_z
_atom_site_occupancy
As1 As 0.3333 0.6667 0.1477 1
Se1 Se 0.0000 0.0000 0.5000 1
```

Its relative energy among the computed polymorphs is 0.00 eV per formula unit. For the total DFT energy (no corrections), the calculation gives -20.067 eV/atom. Its uncorrected formation energy is 0.0864 eV/atom. The total magnetic moment is 0.00 μB per formula unit. Its density of states at the Fermi level is 0.44 states/eV per atom.


Density functional theory data (SCAN) for a crystal of KBe2Hg relaxed with PBEsol.

The structure in CIF format:
```
data_KBe2Hg
_symmetry_space_group_name_H-M 'P m m 2'
_symmetry_Int_Tables_number 25
_symmetry_space_group_name_Hall 'P 2 -2'
_cell_length_a 2.799
_cell_length_b 3.372
_cell_length_c 7.889
_cell_angle_alpha 90.00
_cell_angle_beta 90.00
_cell_angle_gamma 90.00
loop_
_atom_site_label
_atom_site_type_symbol
_atom_site_fract_x
_atom_site_fract_y
_atom_site_fract_z
_atom_site_occupancy
K1 K 0.000 0.000 0.000 1
Be1 Be 0.000 0.000 0.406 1
Be2 Be 0.500 0.500 0.337 1
Hg1 Hg 0.500 0.500 0.661 1
```

The formation energy is 426 meV per atom. For the total DFT energy (no corrections), the calculation gives -20.874 eV/atom. The total magnetic moment is 0.00 μB per formula unit. Its density of states at the Fermi level is 0.28 states/eV per atom.


Density functional theory data (SCAN) for a crystal of ZnSbSI2 relaxed with PBEsol.

The structure in CIF format:
```
data_ZnSbSI2
_symmetry_space_group_name_H-M 'P 4/m m m'
_symmetry_Int_Tables_number 123
_symmetry_space_group_name_Hall '-P 4 2'
_cell_length_a 5.194
_cell_length_b 5.194
_cell_length_c 5.441
_cell_angle_alpha 90.00
_cell_angle_beta 90.00
_cell_angle_gamma 90.00
loop_
_atom_site_label
_atom_site_type_symbol
_atom_site_fract_x
_atom_site_fract_y
_atom_site_fract_z
_atom_site_occupancy
Zn1 Zn 0.000 0.000 0.000 1
Sb1 Sb 0.000 0.000 0.500 1
S1 S 0.500 0.500 0.500 1
I1 I 0.000 0.500 0.000 1
```

For the total DFT energy (no corrections), the calculation gives -26.151 eV/atom. Its uncorrected formation energy is 0.6267 eV/atom. The total magnetic moment is 0.98 μB per formula unit. Its density of states at the Fermi level is 0.53 states/eV per atom.